LiSbMoO6 | Alexandria via LeMat-Bulk | PBE with a Hubbard U | relaxed; total DFT energy (no corrections) = -6.266 eV/atom
1.0
5.273 0.000 0.000
-2.636 4.566 0.000
0.000 0.000 9.611
O Sb Li Mo
12 2 2 2
direct
0.375 0.367 0.362 O
0.008 0.633 0.862 O
0.367 0.992 0.638 O
0.633 0.008 0.362 O
0.992 0.625 0.362 O
0.367 0.375 0.862 O
0.375 0.008 0.138 O
0.633 0.625 0.138 O
0.992 0.367 0.138 O
0.625 0.633 0.638 O
0.008 0.375 0.638 O
0.625 0.992 0.862 O
0.667 0.333 0.750 Sb
0.333 0.667 0.250 Sb
0.000 0.000 0.500 Li
0.000 0.000 0.000 Li
0.667 0.333 0.250 Mo
0.333 0.667 0.750 Mo